# 1
# Pm3TlSe6 | Alexandria | PBE | optimized geometry
# DFT total energy	-5.205	eV per atom
# ΔE_f (raw)	-14.524	eV/f.u.
data_Pm3TlSe6
_cell_length_a 11.4869
_cell_length_b 14.3469
_cell_length_c 7.0731
_cell_angle_alpha 90.00
_cell_angle_beta 90.00
_cell_angle_gamma 90.00
_symmetry_space_group_name_H-M 'C m c 21'
_symmetry_Int_Tables_number 36
loop_
_symmetry_equiv_pos_as_xyz
'x,y,z'
'-x,-y,z+1/2'
'-x,y,z'
'x,-y,z+1/2'
'x+1/2,y+1/2,z'
'-x+1/2,-y+1/2,z+1/2'
'-x+1/2,y+1/2,z'
'x+1/2,-y+1/2,z+1/2'
loop_
_atom_site_label
_atom_site_type_symbol
_atom_site_fract_x
_atom_site_fract_y
_atom_site_fract_z
_atom_site_occupancy
Pm1 Pm 0.0000 0.0933 0.0000 1
Pm2 Pm 0.1854 0.4032 0.0997 1
Tl1 Tl 0.0000 0.2974 0.6203 1
Se1 Se 0.0000 0.2773 0.2468 1
Se2 Se 0.0000 0.4696 0.7975 1
Se3 Se 0.1628 0.0340 0.2975 1
Se4 Se 0.1753 0.2281 0.8350 1

***

# 2
# LaTe3W | Alexandria | PBE | optimized geometry
# DFT total energy	-5.505	eV per atom
# ΔE_f (raw)	-0.221	eV/f.u.
# polymorph energy (0 for the lowest one)	0.00	eV per formula unit
data_LaTe3W
_cell_length_a 5.3674
_cell_length_b 5.3674
_cell_length_c 5.3674
_cell_angle_alpha 90.00
_cell_angle_beta 90.00
_cell_angle_gamma 90.00
_symmetry_space_group_name_H-M 'P m -3 m'
_symmetry_Int_Tables_number 221
_symmetry_space_group_name_Hall '-P 4 2 3'
loop_
_atom_site_label
_atom_site_type_symbol
_atom_site_fract_x
_atom_site_fract_y
_atom_site_fract_z
_atom_site_occupancy
La1 La 0.0000 0.0000 0.0000 1
Te1 Te 0.0000 0.5000 0.5000 1
W1 W 0.5000 0.5000 0.5000 1

***

# 3
# RbInSi2Te | Alexandria | PBE | optimized geometry
# DFT total energy	-2.822	eV per atom
# ΔE_f (raw)	3.583	eV/f.u.
data_RbInSi2Te
_cell_length_a 5.3573
_cell_length_b 5.3573
_cell_length_c 6.2582
_cell_angle_alpha 90.00
_cell_angle_beta 90.00
_cell_angle_gamma 90.00
_symmetry_space_group_name_H-M 'P 4/m m m'
_symmetry_Int_Tables_number 123
_symmetry_space_group_name_Hall '-P 4 2'
loop_
_atom_site_label
_atom_site_type_symbol
_atom_site_fract_x
_atom_site_fract_y
_atom_site_fract_z
_atom_site_occupancy
Rb1 Rb 0.0000 0.0000 0.0000 1
In1 In 0.5000 0.5000 0.0000 1
Si1 Si 0.0000 0.5000 0.5000 1
Te1 Te 0.5000 0.5000 0.5000 1

***

# 4
# PSCl | Alexandria | PBE | optimized geometry
# DFT total energy	-3.873	eV per atom
# ΔE_f (raw)	-0.235	eV/f.u.
data_PSCl
_cell_length_a 13.6501
_cell_length_b 3.1005
_cell_length_c 8.6120
_cell_angle_alpha 90.00
_cell_angle_beta 115.90
_cell_angle_gamma 90.00
_symmetry_space_group_name_H-M 'C 1 2/m 1'
_symmetry_Int_Tables_number 12
loop_
_symmetry_equiv_pos_as_xyz
'x,y,z'
'-x,-y,-z'
'-x,y,-z'
'x,-y,z'
'x+1/2,y+1/2,z'
'-x+1/2,-y+1/2,-z'
'-x+1/2,y+1/2,-z'
'x+1/2,-y+1/2,z'
loop_
_atom_site_label
_atom_site_type_symbol
_atom_site_fract_x
_atom_site_fract_y
_atom_site_fract_z
_atom_site_occupancy
P1 P 0.1838 0.0000 0.1341 1
S1 S 0.1903 0.0000 0.7874 1
Cl1 Cl 0.1029 0.5000 0.2736 1

***

Q: Number 3 is which compound?
A: RbInSi2Te